# 1
Material: AcClO
Method: DFT, PBE-GGA
State: relaxed

Values from the calculation:
The value obtained for the energy above the most stable polymorph in this dataset is 0.00 eV/f.u. The value obtained for the uncorrected formation energy is -3.153 eV/atom. The volume comes out at 130.9 Å³/cell. As for the magnetization: 0.000 μB per formula unit. Its space-group type is P4/nmm (129).

Cell: 4.2696 4.2696 7.1784 Å, 90.00 90.00 90.00°
With the nearest neighbours (Å) after each atom.
Positions (direct):
Ac 0.2500 0.2500 0.1770  4 O 2.48
Ac 0.7500 0.7500 0.8230  4 O 2.48
Cl 0.2500 0.2500 0.6310  5 Ac 3.26-3.32, 4 O 3.40, 4 Cl 3.56
Cl 0.7500 0.7500 0.3690  5 Ac 3.26-3.32, 4 O 3.40, 4 Cl 3.56
O 0.2500 0.7500 0.0000  4 Ac 2.48
O 0.7500 0.2500 0.0000  4 Ac 2.48

# 2
Material: GaCu2AgTe4
Method: DFT, PBE-GGA
State: relaxed

Values from the calculation:
The value obtained for the uncorrected formation energy is -0.151 eV/atom. The volume comes out at 226.9 Å³/cell. As for the magnetization: 0.000 μB per formula unit. Its space-group type is I-42m (121).

Cell: 7.3977 7.3977 7.3977 Å, 130.80 130.80 72.14°
With the nearest neighbours (Å) after each atom.
Positions (direct):
Ga 0.0000 0.0000 0.0000  4 Te 2.67
Cu 0.2500 0.7500 0.5000  4 Te 2.57
Cu 0.7500 0.2500 0.5000  4 Te 2.57
Ag 0.5000 0.5000 0.0000  4 Te 2.76
Te 0.1085 0.6209 0.0000  2 Cu 2.57, 1 Ga 2.67, 1 Ag 2.76
Te 0.3791 0.3791 0.4876  2 Cu 2.57, 1 Ga 2.67, 1 Ag 2.76
Te 0.6209 0.1085 0.0000  2 Cu 2.57, 1 Ga 2.67, 1 Ag 2.76
Te 0.8915 0.8915 0.5124  2 Cu 2.57, 1 Ga 2.67, 1 Ag 2.76